one) Here is an optimized crystal structure of VSBr2 from Alexandria via LeMat-Bulk. Energies are from PBE.

Cell: 12.481 12.481 12.481 Å, 14.56 14.56 14.56°
Atoms (fractional coordinates):
V  0.000  0.000  0.000
S  0.500  0.500  0.500
Br  0.063  0.063  0.063
Br  0.937  0.937  0.937

Summary:
- theoretical density (Mg/m³) = 3.8
- V (Å³ per atom) = 26.737



two) Here is an optimized crystal structure of VSBr2 from Alexandria via LeMat-Bulk. Energies are from PBE.

Cell: 4.856 4.856 4.856 Å, 60.00 60.00 60.00°
Atoms (fractional coordinates):
V  0.000  0.000  0.000
S  0.500  0.500  0.500
Br  0.250  0.250  0.250
Br  0.750  0.750  0.750

Summary:
- theoretical density (Mg/m³) = 5.0
- V (Å³ per atom) = 20.237



The winner here is two), beating the second structure by 163 meV per atom.



one) Here is an optimized crystal structure of WSBr2 from Alexandria via LeMat-Bulk. Energies are from PBE.

Cell: 12.360 12.360 12.360 Å, 13.84 13.84 13.84°
Atoms (fractional coordinates):
W  0.000  0.000  0.000
S  0.500  0.500  0.500
Br  0.067  0.067  0.067
Br  0.933  0.933  0.933

Summary:
- theoretical density (Mg/m³) = 6.6
- V (Å³ per atom) = 23.498



two) Here is an optimized crystal structure of WSBr2 from Alexandria via LeMat-Bulk. Energies are from PBE.

Cell: 7.129 7.129 7.129 Å, 95.87 95.87 142.70°
Atoms (fractional coordinates):
W  0.000  0.000  0.000
W  0.750  0.250  0.500
S  0.250  0.750  0.500
S  0.500  0.500  0.000
Br  0.375  0.229  0.354
Br  0.771  0.125  0.146
Br  0.875  0.021  0.646
Br  0.979  0.625  0.854

Summary:
- theoretical density (Mg/m³) = 6.0
- V (Å³ per atom) = 26.011



The winner here is two), beating the second structure by 871 meV per atom.



one) Here is an optimized crystal structure of WS3Br from Alexandria via LeMat-Bulk. Energies are from PBE.

Cell: 4.701 4.701 4.701 Å, 90.00 90.00 90.00°
Atoms (fractional coordinates):
W  0.000  0.000  0.000
S  0.000  0.000  0.500
S  0.000  0.500  0.000
S  0.500  0.000  0.000
Br  0.500  0.500  0.500

Summary:
- theoretical density (Mg/m³) = 5.8
- V (Å³ per atom) = 20.781



two) Here is an optimized crystal structure of WS3Br from Alexandria via LeMat-Bulk. Energies are from PBE.

Cell: 4.763 4.763 4.763 Å, 90.00 90.00 90.00°
Atoms (fractional coordinates):
W  0.000  0.000  0.000
S  0.000  0.500  0.500
S  0.500  0.000  0.500
S  0.500  0.500  0.000
Br  0.500  0.500  0.500

Summary:
- theoretical density (Mg/m³) = 5.5
- V (Å³ per atom) = 21.615



The winner here is one), beating the second structure by 1681 meV per atom.



one) Here is an optimized crystal structure of WSBr3 from Alexandria via LeMat-Bulk. Energies are from PBE.

Cell: 5.010 5.010 5.010 Å, 90.00 90.00 90.00°
Atoms (fractional coordinates):
W  0.000  0.000  0.000
S  0.500  0.500  0.500
Br  0.000  0.000  0.500
Br  0.000  0.500  0.000
Br  0.500  0.000  0.000

Summary:
- theoretical density (Mg/m³) = 6.0
- V (Å³ per atom) = 25.152



two) Here is an optimized crystal structure of WSBr3 from Alexandria via LeMat-Bulk. Energies are from PBE.

Cell: 5.158 5.158 5.158 Å, 90.00 90.00 90.00°
Atoms (fractional coordinates):
W  0.000  0.000  0.000
S  0.500  0.500  0.500
Br  0.000  0.500  0.500
Br  0.500  0.000  0.500
Br  0.500  0.500  0.000

Summary:
- theoretical density (Mg/m³) = 5.5
- V (Å³ per atom) = 27.441



The winner here is one), beating the second structure by 700 meV per atom.



one) Here is an optimized crystal structure of Y2SBr from Alexandria via LeMat-Bulk. Energies are from PBE.

Cell: 7.885 7.885 7.885 Å, 28.15 28.15 28.15°
Atoms (fractional coordinates):
Y  0.233  0.233  0.233
Y  0.767  0.767  0.767
S  0.500  0.500  0.500
Br  0.000  0.000  0.000

Summary:
- theoretical density (Mg/m³) = 5.0
- V (Å³ per atom) = 24.092



two) Here is an optimized crystal structure of Y2SBr from Alexandria via LeMat-Bulk. Energies are from PBE.

Cell: 4.948 4.948 4.948 Å, 60.00 60.00 60.00°
Atoms (fractional coordinates):
Y  0.250  0.250  0.250
Y  0.750  0.750  0.750
S  0.000  0.000  0.000
Br  0.500  0.500  0.500

Summary:
- theoretical density (Mg/m³) = 5.6
- V (Å³ per atom) = 21.418



three) Here is an optimized crystal structure of Y2SBr from Alexandria via LeMat-Bulk. Energies are from PBE.

Cell: 7.749 7.749 7.749 Å, 131.71 131.71 70.69°
Atoms (fractional coordinates):
Y  0.089  0.625  0.964
Y  0.375  0.339  0.464
Y  0.661  0.125  0.036
Y  0.875  0.911  0.536
S  0.000  0.000  0.000
S  0.750  0.250  0.500
Br  0.250  0.750  0.500
Br  0.500  0.500  0.000

Summary:
- theoretical density (Mg/m³) = 3.8
- V (Å³ per atom) = 31.760



The winner here is one), beating the second structure by 280 meV per atom.



one) Here is an optimized crystal structure of ZnS2Br2 from Alexandria via LeMat-Bulk. Energies are from PBE.

Cell: 5.807 5.807 5.807 Å, 121.72 121.72 87.05°
Atoms (fractional coordinates):
Zn  0.000  0.000  0.000
S  0.390  0.390  0.000
S  0.610  0.610  0.000
Br  0.250  0.750  0.500
Br  0.750  0.250  0.500

Summary:
- theoretical density (Mg/m³) = 3.6
- V (Å³ per atom) = 26.937



two) Here is an optimized crystal structure of ZnS2Br2 from Alexandria via LeMat-Bulk. Energies are from PBE.

Cell: 6.890 6.890 5.013 Å, 90.00 90.00 90.00°
Atoms (fractional coordinates):
Zn  0.000  0.000  0.000
Zn  0.500  0.500  0.000
S  0.194  0.306  0.000
S  0.306  0.806  0.000
S  0.694  0.194  0.000
S  0.806  0.694  0.000
Br  0.174  0.326  0.500
Br  0.326  0.826  0.500
Br  0.674  0.174  0.500
Br  0.826  0.674  0.500

Summary:
- theoretical density (Mg/m³) = 4.0
- V (Å³ per atom) = 23.798



The winner here is two), beating the second structure by 187 meV per atom.



one) Here is an optimized crystal structure of ZnS2Br from Alexandria via LeMat-Bulk. Energies are from PBE.

Cell: 4.721 4.721 4.721 Å, 60.00 60.00 60.00°
Atoms (fractional coordinates):
Zn  0.000  0.000  0.000
S  0.250  0.250  0.250
S  0.750  0.750  0.750
Br  0.500  0.500  0.500

Summary:
- theoretical density (Mg/m³) = 4.7
- V (Å³ per atom) = 18.603



two) Here is an optimized crystal structure of ZnS2Br from Alexandria via LeMat-Bulk. Energies are from PBE.

Cell: 7.722 7.722 7.722 Å, 27.96 27.96 27.96°
Atoms (fractional coordinates):
Zn  0.000  0.000  0.000
S  0.391  0.391  0.391
S  0.609  0.609  0.609
Br  0.500  0.500  0.500

Summary:
- theoretical density (Mg/m³) = 3.9
- V (Å³ per atom) = 22.347



three) Here is an optimized crystal structure of ZnS2Br from Alexandria via LeMat-Bulk. Energies are from PBE.

Cell: 11.983 11.983 11.983 Å, 14.80 14.80 14.80°
Atoms (fractional coordinates):
Zn  0.000  0.000  0.000
S  0.061  0.061  0.061
S  0.939  0.939  0.939
Br  0.500  0.500  0.500

Summary:
- theoretical density (Mg/m³) = 3.6
- V (Å³ per atom) = 24.431



four) Here is an optimized crystal structure of ZnS2Br from Alexandria via LeMat-Bulk. Energies are from PBE.

Cell: 6.556 6.556 6.556 Å, 121.25 121.25 87.85°
Atoms (fractional coordinates):
Zn  0.000  0.000  0.000
Zn  0.750  0.250  0.500
S  0.062  0.625  0.937
S  0.375  0.312  0.437
S  0.688  0.125  0.063
S  0.875  0.938  0.563
Br  0.250  0.750  0.500
Br  0.500  0.500  0.000

Summary:
- theoretical density (Mg/m³) = 3.6
- V (Å³ per atom) = 24.419



The winner here is two), beating the second structure by 304 meV per atom.



one) Here is an optimized crystal structure of Zn3SBr from Alexandria via LeMat-Bulk. Energies are from PBE.

Cell: 4.986 4.986 4.986 Å, 90.00 90.00 90.00°
Atoms (fractional coordinates):
Zn  0.000  0.000  0.500
Zn  0.000  0.500  0.000
Zn  0.500  0.000  0.000
S  0.000  0.000  0.000
Br  0.500  0.500  0.500

Summary:
- theoretical density (Mg/m³) = 4.1
- V (Å³ per atom) = 24.792



two) Here is an optimized crystal structure of Zn3SBr from Alexandria via LeMat-Bulk. Energies are from PBE.

Cell: 5.115 5.115 5.115 Å, 90.00 90.00 90.00°
Atoms (fractional coordinates):
Zn  0.000  0.000  0.500
Zn  0.000  0.500  0.000
Zn  0.500  0.000  0.000
S  0.500  0.500  0.500
Br  0.000  0.000  0.000

Summary:
- theoretical density (Mg/m³) = 3.8
- V (Å³ per atom) = 26.763



The winner here is one), beating the second structure by 623 meV per atom.



one) Here is an optimized crystal structure of ZnSBr3 from Alexandria via LeMat-Bulk. Energies are from PBE.

Cell: 5.176 5.176 5.176 Å, 90.00 90.00 90.00°
Atoms (fractional coordinates):
Zn  0.000  0.000  0.000
S  0.500  0.500  0.500
Br  0.000  0.500  0.500
Br  0.500  0.000  0.500
Br  0.500  0.500  0.000

Summary:
- theoretical density (Mg/m³) = 4.0
- V (Å³ per atom) = 27.726



two) Here is an optimized crystal structure of ZnSBr3 from Alexandria via LeMat-Bulk. Energies are from PBE.

Cell: 5.204 5.204 5.204 Å, 90.00 90.00 90.00°
Atoms (fractional coordinates):
Zn  0.000  0.000  0.000
S  0.500  0.500  0.500
Br  0.000  0.000  0.500
Br  0.000  0.500  0.000
Br  0.500  0.000  0.000

Summary:
- theoretical density (Mg/m³) = 4.0
- V (Å³ per atom) = 28.179



The winner here is two), beating the second structure by 30 meV per atom.



one) Here is an optimized crystal structure of Zr2SBr from Alexandria via LeMat-Bulk. Energies are from PBE.

Cell: 4.706 4.706 4.706 Å, 60.00 60.00 60.00°
Atoms (fractional coordinates):
Zr  0.250  0.250  0.250
Zr  0.750  0.750  0.750
S  0.000  0.000  0.000
Br  0.500  0.500  0.500

Summary:
- theoretical density (Mg/m³) = 6.6
- V (Å³ per atom) = 18.424



two) Here is an optimized crystal structure of Zr2SBr from Alexandria via LeMat-Bulk. Energies are from PBE.

Cell: 8.993 8.993 8.993 Å, 149.57 149.57 43.58°
Atoms (fractional coordinates):
Zr  0.099  0.625  0.974
Zr  0.375  0.349  0.474
Zr  0.651  0.125  0.026
Zr  0.875  0.901  0.526
S  0.000  0.000  0.000
S  0.750  0.250  0.500
Br  0.250  0.750  0.500
Br  0.500  0.500  0.000

Summary:
- theoretical density (Mg/m³) = 5.3
- V (Å³ per atom) = 23.264



The winner here is one), beating the second structure by 115 meV per atom.



one) Here is an optimized crystal structure of SbBr from Alexandria via LeMat-Bulk. Energies are from PBE.

Cell: 3.783 3.783 3.783 Å, 90.00 90.00 90.00°
Atoms (fractional coordinates):
Sb  0.000  0.000  0.000
Br  0.500  0.500  0.500

Summary:
- theoretical density (Mg/m³) = 6.2
- V (Å³ per atom) = 27.074



two) Here is an optimized crystal structure of SbBr from Alexandria via LeMat-Bulk. Energies are from PBE.

Cell: 5.423 5.423 9.664 Å, 90.00 90.00 120.00°
Atoms (fractional coordinates):
Sb  0.333  0.667  0.035
Sb  0.333  0.667  0.465
Sb  0.667  0.333  0.535
Sb  0.667  0.333  0.965
Br  0.000  0.000  0.250
Br  0.000  0.000  0.750
Br  0.333  0.667  0.750
Br  0.667  0.333  0.250

Summary:
- theoretical density (Mg/m³) = 5.4
- V (Å³ per atom) = 30.770



three) Here is an optimized crystal structure of SbBr from Alexandria via LeMat-Bulk. Energies are from PBE.

Cell: 7.257 7.541 10.536 Å, 90.00 90.00 90.00°
Atoms (fractional coordinates):
Sb  0.173  0.078  0.426
Sb  0.230  0.563  0.005
Sb  0.270  0.437  0.505
Sb  0.327  0.922  0.926
Sb  0.673  0.422  0.574
Sb  0.730  0.937  0.995
Sb  0.770  0.063  0.495
Sb  0.827  0.578  0.074
Br  0.128  0.159  0.188
Br  0.134  0.348  0.726
Br  0.366  0.652  0.226
Br  0.372  0.841  0.688
Br  0.628  0.341  0.812
Br  0.634  0.152  0.274
Br  0.866  0.848  0.774
Br  0.872  0.659  0.312

Summary:
- theoretical density (Mg/m³) = 4.6
- V (Å³ per atom) = 36.040



four) Here is an optimized crystal structure of SbBr from Alexandria via LeMat-Bulk. Energies are from PBE.

Cell: 3.633 3.633 10.860 Å, 90.00 90.00 122.52°
Atoms (fractional coordinates):
Sb  0.250  0.750  0.876
Sb  0.750  0.250  0.124
Br  0.250  0.750  0.332
Br  0.750  0.250  0.668

Summary:
- theoretical density (Mg/m³) = 5.5
- V (Å³ per atom) = 30.214



The winner here is three), beating the second structure by 296 meV per atom.